# 1
VASP calculation (PBE) on an optimized crystal structure of PaZnO4F. Values from VASP.

Values from the calculation:
raw formation energy = -1596 kJ/mol of formula units
D(E_F) = 0.0 states/eV/f.u.
spin magnetization = 0.000 Bohr magnetons per cell

The structure in Quantum ESPRESSO input format:
```
&SYSTEM
  ibrav = 0, nat = 14, ntyp = 4
/
ATOMIC_SPECIES
O 16.00 O.upf
Zn 65.41 Zn.upf
Pa 231.04 Pa.upf
F 19.00 F.upf
CELL_PARAMETERS angstrom
5.945 0.045 -0.384
2.012 5.594 -0.384
1.202 0.852 6.644
ATOMIC_POSITIONS angstrom
O 4.996 3.541 1.312
O 3.477 0.822 0.652
O 4.164 2.951 4.564
O 5.682 5.669 5.223
O 7.232 3.483 5.223
O 5.978 4.237 2.177
O 3.182 2.255 3.699
O 1.928 3.008 0.652
Zn 5.723 4.056 4.090
Zn 3.436 2.435 1.786
Pa 2.725 1.931 5.979
Pa 6.434 4.560 -0.103
F 8.754 6.205 4.684
F 0.405 0.287 1.192
```

# 2
VASP calculation (PBE) on an optimized crystal structure of CeSc2GaC. Values from VASP.

Values from the calculation:
D(E_F) = 4.8 states/eV/f.u.
DFT formation energy = -0.46 eV per atom
spin magnetization = 0.251 Bohr magnetons per cell

The structure in Quantum ESPRESSO input format:
```
&SYSTEM
  ibrav = 0, nat = 5, ntyp = 4
/
ATOMIC_SPECIES
Ce 140.12 Ce.upf
Ga 69.72 Ga.upf
Sc 44.96 Sc.upf
C 12.01 C.upf
CELL_PARAMETERS angstrom
-2.400 -3.120 2.745
0.510 -3.217 -3.210
3.927 -1.314 1.940
ATOMIC_POSITIONS angstrom
Ce -1.200 -1.560 1.373
Ga 1.018 -3.826 0.738
Sc 0.255 -1.608 -1.605
Sc 1.964 -0.657 0.970
C 0.000 0.000 0.000
```

# 3
VASP calculation (PBE) on an optimized crystal structure of TbNd2Bi. Values from VASP.

Values from the calculation:
E above lowest polymorph = 25.6 meV/atom
D(E_F) = 4.5 states/eV/f.u.
DFT formation energy = -0.38 eV per atom
spin magnetization = 0.000 Bohr magnetons per cell

The structure in Quantum ESPRESSO input format:
```
&SYSTEM
  ibrav = 0, nat = 4, ntyp = 3
/
ATOMIC_SPECIES
Nd 144.24 Nd.upf
Tb 158.93 Tb.upf
Bi 208.98 Bi.upf
CELL_PARAMETERS angstrom
4.322 0.000 0.000
0.000 4.322 0.000
0.000 0.000 6.901
ATOMIC_POSITIONS angstrom
Nd 0.000 0.000 1.629
Nd 0.000 0.000 5.272
Tb 2.161 2.161 3.450
Bi 2.161 2.161 0.000
```

# 4
VASP calculation (PBE) on an optimized crystal structure of Rb2MgRhCl6. Values from VASP.

Values from the calculation:
raw formation energy = -1297 kJ/mol of formula units
D(E_F) = 0.8 states/eV/f.u.
spin magnetization = 1.000 Bohr magnetons per cell

The structure in Quantum ESPRESSO input format:
```
&SYSTEM
  ibrav = 0, nat = 10, ntyp = 4
/
ATOMIC_SPECIES
Cl 35.45 Cl.upf
Rb 85.47 Rb.upf
Rh 102.91 Rh.upf
Mg 24.30 Mg.upf
CELL_PARAMETERS angstrom
-0.229 -7.238 -1.109
7.291 -0.327 0.628
3.115 -4.455 4.237
ATOMIC_POSITIONS angstrom
Cl 1.746 -1.871 -0.119
Cl 1.630 -5.529 -0.680
Cl 3.323 -4.119 1.999
Cl 5.316 -5.694 -0.362
Cl 6.854 -7.901 1.757
Cl 5.432 -2.036 0.199
Rb 3.208 -7.738 1.444
Rb 6.969 -4.283 2.313
Rh 0.000 0.000 0.000
Mg 3.531 -3.782 -0.240
```

# 5
VASP calculation (PBE) on an optimized crystal structure of ScTa2Re. Values from VASP.

Values from the calculation:
E above lowest polymorph = 154.8 meV/atom
D(E_F) = 5.1 states/eV/f.u.
DFT formation energy = 0.06 eV per atom
spin magnetization = 0.000 Bohr magnetons per cell

The structure in Quantum ESPRESSO input format:
```
&SYSTEM
  ibrav = 0, nat = 4, ntyp = 3
/
ATOMIC_SPECIES
Ta 180.95 Ta.upf
Sc 44.96 Sc.upf
Re 186.21 Re.upf
CELL_PARAMETERS angstrom
-2.790 1.743 0.162
-2.291 -3.786 1.285
0.876 0.987 4.472
ATOMIC_POSITIONS angstrom
Ta 0.000 0.000 0.000
Ta -2.541 -1.022 0.723
Sc -0.708 -1.400 2.878
Re -0.957 1.365 2.317
```

# 6
VASP calculation (PBE) on an optimized crystal structure of Na10B11C9. Values from VASP.

Values from the calculation:
E above lowest polymorph = 13.3 meV/atom
D(E_F) = 4.2 states/eV/f.u.
DFT formation energy = 0.04 eV per atom
spin magnetization = 0.000 Bohr magnetons per cell

The structure in Quantum ESPRESSO input format:
```
&SYSTEM
  ibrav = 0, nat = 30, ntyp = 3
/
ATOMIC_SPECIES
B 10.81 B.upf
C 12.01 C.upf
Na 22.99 Na.upf
CELL_PARAMETERS angstrom
-6.496 -2.807 2.541
6.874 -2.085 -2.220
2.786 0.736 7.936
ATOMIC_POSITIONS angstrom
B 4.889 -0.929 5.106
B -1.854 -1.591 3.044
B 2.344 -2.705 6.165
B 5.022 -2.645 5.219
B 3.415 -0.182 5.555
B -0.327 -3.964 2.728
B 0.813 -0.331 6.482
B 0.824 -1.446 2.090
B 2.351 -3.820 1.774
B 3.497 -1.303 1.139
B -0.260 -2.836 7.091
C 2.177 -1.062 6.071
C 1.104 -3.576 6.681
C 3.623 -2.934 1.246
C -0.443 -1.220 7.005
C -0.578 -0.705 2.514
C 2.098 -0.561 1.561
C 3.726 -3.451 5.748
C -1.726 -3.224 3.150
C 0.949 -3.079 2.198
Na -1.038 -1.922 9.518
Na 2.921 -2.005 3.656
Na -1.149 -2.519 0.651
Na 0.236 -2.154 4.594
Na 4.311 -1.638 7.616
Na 6.985 -1.493 6.664
Na 5.594 -1.861 2.704
Na -6.486 -2.807 2.551
Na -5.101 -2.442 6.495
Na -2.427 -2.289 5.563
```

# 7
VASP calculation (PBE) on an optimized crystal structure of KV. Values from VASP.

Values from the calculation:
E above lowest polymorph = 734.5 meV/atom
D(E_F) = 2.2 states/eV/f.u.
DFT formation energy = 1.48 eV per atom
spin magnetization = 2.357 Bohr magnetons per cell

The structure in Quantum ESPRESSO input format:
```
&SYSTEM
  ibrav = 0, nat = 2, ntyp = 2
/
ATOMIC_SPECIES
V 50.94 V.upf
K 39.10 K.upf
CELL_PARAMETERS angstrom
-1.703 0.727 2.420
-2.287 -5.798 0.131
2.824 -1.105 0.395
ATOMIC_POSITIONS angstrom
V 2.698 -1.054 0.456
K -1.428 -2.744 1.935
```

# 8
VASP calculation (PBE) on an optimized crystal structure of BeCu2W. Values from VASP.

Values from the calculation:
E above lowest polymorph = 177.1 meV/atom
D(E_F) = 2.9 states/eV/f.u.
DFT formation energy = 0.25 eV per atom
spin magnetization = 0.000 Bohr magnetons per cell

The structure in Quantum ESPRESSO input format:
```
&SYSTEM
  ibrav = 0, nat = 4, ntyp = 3
/
ATOMIC_SPECIES
W 183.84 W.upf
Cu 63.55 Cu.upf
Be 9.01 Be.upf
CELL_PARAMETERS angstrom
5.013 -0.018 0.026
4.348 2.494 0.026
1.816 0.480 3.848
ATOMIC_POSITIONS angstrom
W 8.383 2.217 2.925
Cu 9.151 2.421 0.158
Cu 5.799 1.534 1.844
Be 2.794 0.739 0.975
```

# 9
VASP calculation (PBE) on an optimized crystal structure of CrIrRuAu2. Values from VASP.

Values from the calculation:
D(E_F) = 7.5 states/eV/f.u.
DFT formation energy = 1.54 eV per atom
spin magnetization = 1.574 Bohr magnetons per cell

The structure in Quantum ESPRESSO input format:
```
&SYSTEM
  ibrav = 0, nat = 5, ntyp = 4
/
ATOMIC_SPECIES
Ru 101.07 Ru.upf
Au 196.97 Au.upf
Cr 52.00 Cr.upf
Ir 192.22 Ir.upf
CELL_PARAMETERS angstrom
-2.882 -1.834 3.317
3.300 -1.953 1.788
0.756 3.805 2.761
ATOMIC_POSITIONS angstrom
Ru 1.650 -0.976 0.894
Au -1.441 -0.917 1.659
Au 0.378 1.903 1.380
Cr 0.000 0.000 0.000
Ir 0.587 0.009 3.933
```

# 10
VASP calculation (PBE) on an optimized crystal structure of NiAg2Br. Values from VASP.

Values from the calculation:
E above lowest polymorph = 322.8 meV/atom
raw formation energy = 187 kJ/mol of formula units
D(E_F) = 6.2 states/eV/f.u.
spin magnetization = 0.312 Bohr magnetons per cell

The structure in Quantum ESPRESSO input format:
```
&SYSTEM
  ibrav = 0, nat = 4, ntyp = 3
/
ATOMIC_SPECIES
Ni 58.69 Ni.upf
Ag 107.87 Ag.upf
Br 79.90 Br.upf
CELL_PARAMETERS angstrom
-2.180 3.022 2.846
0.025 -0.709 4.635
2.504 2.817 2.789
ATOMIC_POSITIONS angstrom
Ni 0.087 1.282 2.568
Ag 0.000 0.000 0.000
Ag 0.261 3.847 7.703
Br 0.174 2.565 5.135
```

# 11
VASP calculation (PBE) on an optimized crystal structure of AcTeS4. Values from VASP.

Values from the calculation:
E above lowest polymorph = 35.2 meV/atom
raw formation energy = -377 kJ/mol of formula units
D(E_F) = 3.3 states/eV/f.u.
spin magnetization = 0.000 Bohr magnetons per cell

The structure in Quantum ESPRESSO input format:
```
&SYSTEM
  ibrav = 0, nat = 12, ntyp = 3
/
ATOMIC_SPECIES
Ac 227.00 Ac.upf
S 32.06 S.upf
Te 127.60 Te.upf
CELL_PARAMETERS angstrom
7.119 0.000 -0.425
0.000 6.999 0.000
-0.608 0.000 6.523
ATOMIC_POSITIONS angstrom
Ac 0.000 0.000 0.000
Ac 3.560 3.500 -0.212
S 6.202 4.488 0.632
S 4.881 5.022 4.089
S 5.190 1.522 1.797
S 1.321 5.477 4.301
S 1.630 1.977 2.009
S 0.309 2.511 5.467
S 2.642 6.011 0.844
S 3.869 0.989 5.254
Te 3.256 0.000 3.049
Te -0.304 3.500 3.262
```

# 12
VASP calculation (PBE) on an optimized crystal structure of VSbTe2N. Values from VASP.

Values from the calculation:
E above lowest polymorph = 949.8 meV/atom
raw formation energy = 496 kJ/mol of formula units
D(E_F) = 5.9 states/eV/f.u.
spin magnetization = 2.982 Bohr magnetons per cell

The structure in Quantum ESPRESSO input format:
```
&SYSTEM
  ibrav = 0, nat = 5, ntyp = 4
/
ATOMIC_SPECIES
V 50.94 V.upf
N 14.01 N.upf
Te 127.60 Te.upf
Sb 121.76 Sb.upf
CELL_PARAMETERS angstrom
5.782 0.000 0.000
0.000 5.782 0.000
0.000 0.000 3.898
ATOMIC_POSITIONS angstrom
V 2.891 2.891 1.949
N 0.000 0.000 1.949
Te 0.000 2.891 0.000
Te 2.891 0.000 0.000
Sb 0.000 0.000 0.000
```

# 13
VASP calculation (PBE) on an optimized crystal structure of YNbOsAu2. Values from VASP.

Values from the calculation:
D(E_F) = 4.2 states/eV/f.u.
DFT formation energy = 0.64 eV per atom
spin magnetization = 0.000 Bohr magnetons per cell

The structure in Quantum ESPRESSO input format:
```
&SYSTEM
  ibrav = 0, nat = 5, ntyp = 4
/
ATOMIC_SPECIES
Nb 92.91 Nb.upf
Y 88.91 Y.upf
Au 196.97 Au.upf
Os 190.23 Os.upf
CELL_PARAMETERS angstrom
-0.532 -5.016 -0.696
2.512 0.290 -4.011
4.286 -0.819 2.625
ATOMIC_POSITIONS angstrom
Nb 0.000 0.000 0.000
Y 3.133 -2.773 -1.041
Au 2.143 -0.409 1.312
Au -0.266 -2.508 -0.348
Os 1.256 0.145 -2.006
```

# 14
VASP calculation (PBE) on an optimized crystal structure of YAs4W. Values from VASP.

Values from the calculation:
D(E_F) = 5.2 states/eV/f.u.
DFT formation energy = 0.49 eV per atom
spin magnetization = 0.404 Bohr magnetons per cell

The structure in Quantum ESPRESSO input format:
```
&SYSTEM
  ibrav = 0, nat = 6, ntyp = 3
/
ATOMIC_SPECIES
As 74.92 As.upf
W 183.84 W.upf
Y 88.91 Y.upf
CELL_PARAMETERS angstrom
0.000 3.896 3.896
3.896 0.000 3.896
3.896 3.896 0.000
ATOMIC_POSITIONS angstrom
As 4.863 4.863 2.929
As 2.929 2.929 2.929
As 4.863 2.929 4.863
As 2.929 4.863 4.863
W 5.845 5.845 5.845
Y 0.000 0.000 0.000
```

# 15
VASP calculation (PBE) on an optimized crystal structure of LaHg2Cl. Values from VASP.

Values from the calculation:
E above lowest polymorph = 98.4 meV/atom
raw formation energy = -286 kJ/mol of formula units
D(E_F) = 6.0 states/eV/f.u.
spin magnetization = 0.026 Bohr magnetons per cell

The structure in Quantum ESPRESSO input format:
```
&SYSTEM
  ibrav = 0, nat = 4, ntyp = 3
/
ATOMIC_SPECIES
Hg 200.59 Hg.upf
La 138.91 La.upf
Cl 35.45 Cl.upf
CELL_PARAMETERS angstrom
-2.488 4.631 0.109
-3.633 1.118 -3.633
-5.079 0.225 1.343
ATOMIC_POSITIONS angstrom
Hg -2.800 1.494 -0.545
Hg 0.000 0.000 0.000
La -8.400 4.481 -1.636
Cl -5.600 2.987 -1.091
```

# 16
VASP calculation (PBE) on an optimized crystal structure of ZnMo5. Values from VASP.

Values from the calculation:
E above lowest polymorph = 157.5 meV/atom
D(E_F) = 6.2 states/eV/f.u.
DFT formation energy = 0.27 eV per atom
spin magnetization = 0.000 Bohr magnetons per cell

The structure in Quantum ESPRESSO input format:
```
&SYSTEM
  ibrav = 0, nat = 6, ntyp = 2
/
ATOMIC_SPECIES
Mo 95.94 Mo.upf
Zn 65.41 Zn.upf
CELL_PARAMETERS angstrom
-7.206 1.361 -3.047
6.834 -3.622 1.797
-1.948 -1.786 3.810
ATOMIC_POSITIONS angstrom
Mo -0.304 -2.327 1.575
Mo -4.905 -0.694 -0.012
Mo 6.716 -3.580 1.756
Mo -2.594 -0.276 -1.456
Mo 2.039 -1.920 0.142
Zn 4.372 -3.987 3.188
```

# 17
VASP calculation (PBE) on an optimized crystal structure of Ca4PtBr. Values from VASP.

Values from the calculation:
raw formation energy = 105 kJ/mol of formula units
D(E_F) = 6.3 states/eV/f.u.
spin magnetization = 0.000 Bohr magnetons per cell

The structure in Quantum ESPRESSO input format:
```
&SYSTEM
  ibrav = 0, nat = 6, ntyp = 3
/
ATOMIC_SPECIES
Br 79.90 Br.upf
Ca 40.08 Ca.upf
Pt 195.08 Pt.upf
CELL_PARAMETERS angstrom
0.000 4.623 4.623
4.623 0.000 4.623
4.623 4.623 0.000
ATOMIC_POSITIONS angstrom
Br 0.000 0.000 0.000
Ca 5.770 3.476 5.770
Ca 3.476 5.770 5.770
Ca 3.476 3.476 3.476
Ca 5.770 5.770 3.476
Pt 6.934 6.934 6.934
```

# 18
VASP calculation (PBE) on an optimized crystal structure of KMn2Te. Values from VASP.

Values from the calculation:
raw formation energy = 210 kJ/mol of formula units
D(E_F) = 2.9 states/eV/f.u.
spin magnetization = 8.727 Bohr magnetons per cell

The structure in Quantum ESPRESSO input format:
```
&SYSTEM
  ibrav = 0, nat = 4, ntyp = 3
/
ATOMIC_SPECIES
Mn 54.94 Mn.upf
K 39.10 K.upf
Te 127.60 Te.upf
CELL_PARAMETERS angstrom
-0.195 -3.029 -2.251
1.662 -2.091 2.669
-7.013 -1.766 2.984
ATOMIC_POSITIONS angstrom
Mn -0.597 -0.150 0.254
Mn -2.910 -0.733 1.238
K -4.526 -3.885 2.447
Te -1.020 -3.002 0.955
```

# 19
VASP calculation (PBE) on an optimized crystal structure of AlTlGaMo2. Values from VASP.

Values from the calculation:
D(E_F) = 5.8 states/eV/f.u.
DFT formation energy = 1.46 eV per atom
spin magnetization = 2.205 Bohr magnetons per cell

The structure in Quantum ESPRESSO input format:
```
&SYSTEM
  ibrav = 0, nat = 5, ntyp = 4
/
ATOMIC_SPECIES
Ga 69.72 Ga.upf
Mo 95.94 Mo.upf
Tl 204.38 Tl.upf
Al 26.98 Al.upf
CELL_PARAMETERS angstrom
-0.476 4.420 -1.559
-3.584 0.764 3.259
3.180 1.456 3.155
ATOMIC_POSITIONS angstrom
Ga -0.440 3.320 2.428
Mo -0.238 2.210 -0.780
Mo 1.590 0.728 1.578
Tl -1.792 0.382 1.630
Al 0.000 0.000 0.000
```

# 20
VASP calculation (PBE) on an optimized crystal structure of LiCaIn3. Values from VASP.

Values from the calculation:
E above lowest polymorph = 0.0 meV/atom
D(E_F) = 3.0 states/eV/f.u.
DFT formation energy = -0.30 eV per atom
spin magnetization = 0.000 Bohr magnetons per cell

The structure in Quantum ESPRESSO input format:
```
&SYSTEM
  ibrav = 0, nat = 20, ntyp = 3
/
ATOMIC_SPECIES
In 114.82 In.upf
Li 6.94 Li.upf
Ca 40.08 Ca.upf
CELL_PARAMETERS angstrom
-0.007 1.205 -4.336
-6.440 -6.319 -1.746
-8.538 8.077 2.259
ATOMIC_POSITIONS angstrom
In -3.907 3.173 -0.279
In -4.439 -2.529 -1.864
In -7.349 -3.466 -2.119
In -11.078 -0.210 -3.544
In -7.636 6.429 -1.704
In -2.435 1.864 -2.981
In -8.531 3.503 -0.180
In -12.550 1.099 -0.842
In -10.159 2.610 -2.761
In -4.826 0.353 -1.062
In -10.545 5.492 -1.959
In -6.454 -0.540 -3.643
Li -6.142 4.733 0.158
Li -11.316 3.422 -0.198
Li -3.668 -0.460 -3.625
Li -8.842 -1.771 -3.981
Ca -5.282 -4.224 -4.669
Ca -6.280 2.925 -2.680
Ca -8.705 0.037 -1.143
Ca -9.703 7.187 0.846
```